Entry 1:
4
Lattice="0.0000 3.3113 3.3113 3.3113 0.0000 3.3113 3.3113 3.3113 0.0000" Properties=species:S:1:pos:R:3 comment="LiTlNiHg, optimized geometry, DFT PBE" dft_energy_ev_per_atom=-2.41 vol_a3_per_atom=18.2 sg=F-43m magnetic_moment_mub_per_atom=0.00 pbc="T T T"
Li 0.0000 0.0000 0.0000
Tl 3.3113 3.3113 3.3113
Ni 4.9670 4.9670 4.9670
Hg 1.6557 1.6557 1.6557

***

Entry 2:
4
Lattice="0.0000 3.2586 3.2586 3.2586 0.0000 3.2586 3.2586 3.2586 0.0000" Properties=species:S:1:pos:R:3 comment="LiTlNiHg, optimized geometry, DFT PBE" dft_energy_ev_per_atom=-2.59 vol_a3_per_atom=17.3 sg=F-43m magnetic_moment_mub_per_atom=0.00 pbc="T T T"
Li 0.0000 0.0000 0.0000
Tl 1.6293 1.6293 1.6293
Ni 3.2586 3.2586 3.2586
Hg 4.8879 4.8879 4.8879

***

Entry 3:
32
Lattice="5.2335 0.0000 0.0000 0.0000 12.2118 0.0000 -1.9953 0.0000 5.0085" Properties=species:S:1:pos:R:3 comment="Li3HgO4, optimized geometry, DFT PBE" dft_energy_ev_per_atom=-4.10 vol_a3_per_atom=10.0 sg=P2 pbc="T T T"
Li 0.0000 0.0000 0.0000
Li -0.9977 1.2443 2.5042
Li 0.0000 2.7346 0.0000
Li -0.9977 4.5636 2.5042
Li 0.0000 6.3628 0.0000
Li -0.9977 7.8667 2.5042
Li 0.0000 9.3732 0.0000
Li -0.9977 10.7896 2.5042
Li 2.6167 1.3519 0.0000
Li 2.6167 7.7740 0.0000
Li 2.6167 10.7699 0.0000
Li 1.6191 12.1704 2.5042
Hg 1.6191 2.8406 2.5042
Hg 2.6167 4.5968 0.0000
Hg 1.6191 6.1481 2.5042
Hg 1.6191 9.2884 2.5042
O 0.6238 4.3921 1.4832
O -0.3347 6.0904 3.9443
O -0.2835 12.2067 3.8493
O 0.7473 7.7999 1.2702
O 0.7329 1.4064 1.3495
O -0.2979 3.0893 3.9404
O 0.7934 10.7097 1.2838
O -0.0700 9.2272 3.6871
O 3.3081 9.2272 1.3213
O 2.4448 10.7097 3.7247
O 2.5053 1.4064 3.6590
O 3.5361 3.0893 1.0680
O 3.5216 12.2067 1.1592
O 2.4908 7.7999 3.7383
O 3.5728 6.0904 1.0642
O 2.6144 4.3921 3.5253